Below is an optimized crystal structure of Tm2ThSi6, with properties calculated at the PBE-GGA level.

Unit cell a=7.1035 b=7.1035 c=3.9696 alpha=90.00 beta=90.00 gamma=120.00
Last column: nearest neighbours and their distance in Å.
Space group P6/mmm (No. 191)
Unique sites:
Tm  0.3333  0.6667  0.0000  12 Si 3.08
Th  0.0000  0.0000  0.0000  12 Si 3.10
Si  0.0000  0.3360  0.5000  3 Si 2.33-2.39

---

Below is an optimized crystal structure of Tm4ThSi4, with properties calculated at the PBE-GGA level.

Unit cell a=9.0744 b=9.0744 c=5.6393 alpha=90.00 beta=90.00 gamma=90.00
Last column: nearest neighbours and their distance in Å.
Space group P4_2/n (No. 86, origin choice 2)
Unique sites:
Tm  0.0964  0.6436  0.1295  5 Si 2.87-2.92
Th  0.2500  0.2500  0.2500  4 Si 3.04
Si  0.0405  0.5999  0.6337  1 Si 2.47

---

Below is an optimized crystal structure of TmThSi2, with properties calculated at the PBE-GGA level.

Results
The energy above the most stable polymorph in this dataset is 402 meV per atom.

Unit cell a=3.3133 b=6.5019 c=8.7594 alpha=90.00 beta=90.00 gamma=90.00
Last column: nearest neighbours and their distance in Å.
Space group Amm2 (No. 38)
Unique sites:
Tm  0.0000  0.0000  0.0000  4 Si 2.75-2.81
Th  0.5000  0.0000  0.4257  8 Si 3.22-3.24, 2 Th 3.31
Si  0.0000  0.1881  0.7116  1 Si 2.45

---

Number 1: energy -5.96 eV per atom, uncorrected formation energy -0.53 eV/atom. Number 2: energy -5.64 eV per atom, uncorrected formation energy -0.41 eV/atom. Number 3: energy -6.01 eV per atom, uncorrected formation energy -0.32 eV/atom.